Material: La2Co2S2O3
Method: DFT, GGA+U
State: relaxed

POSCAR file:
```
La2Co2S2O3
1.0
-2.014 2.014 8.862
2.014 -2.014 8.862
2.014 2.014 -8.862
La Co S O
2 2 2 3
Direct
0.180 0.180 0.000
0.820 0.820 0.000
0.000 0.500 0.500
0.500 0.000 0.500
0.407 0.407 0.000
0.593 0.593 0.000
0.000 0.000 0.000
0.250 0.750 0.500
0.750 0.250 0.500
```

As for the space group: I4/mmm. As for the energy: -6.668 eV/atom.